[1]
DFT (PBE) results for a relaxed AcInAsO crystal.

The structure in extended XYZ format:
```
8
Lattice="4.646 0.000 0.000 0.000 4.646 0.000 0.000 0.000 8.831" Properties=species:S:1:pos:R:3 pbc="T T T"
Ac 1.162 1.162 1.052
Ac 3.485 3.485 7.779
In 1.162 3.485 4.415
In 3.485 1.162 4.415
As 1.162 1.162 5.998
As 3.485 3.485 2.833
O 1.162 3.485 0.000
O 3.485 1.162 0.000
```

Calculated values
Energy relative to the elements, uncorrected in eV per atom: -1.59
SG: No. 129


[2]
DFT (PBE) results for a relaxed Ac3InAs2Pd9 crystal.

The structure in extended XYZ format:
```
15
Lattice="6.550 0.000 0.000 -3.275 5.672 0.000 0.000 0.000 9.567" Properties=species:S:1:pos:R:3 pbc="T T T"
Ac 0.000 0.000 0.000
Ac 0.000 3.781 6.725
Ac 3.275 1.891 2.842
In 0.000 0.000 4.784
As 0.000 3.781 1.626
As 3.275 1.891 7.941
Pd -1.637 2.836 0.000
Pd 0.000 1.624 2.655
Pd -1.868 4.860 2.655
Pd 1.407 0.812 6.912
Pd 3.275 0.000 0.000
Pd 1.637 2.836 0.000
Pd 1.868 4.860 2.655
Pd 5.143 0.812 6.912
Pd 3.275 4.048 6.912
```

Calculated values
SG: No. 164
ΔH_f (0 K) in eV/atom: -0.6309


[3]
DFT (PBE) results for a relaxed Ac2InAs3Pd4 crystal.

The structure in extended XYZ format:
```
10
Lattice="4.437 0.000 0.000 0.000 4.437 0.000 0.000 0.000 10.937" Properties=species:S:1:pos:R:3 pbc="T T T"
Ac 0.000 2.218 2.560
Ac 2.218 0.000 8.377
In 0.000 0.000 5.468
As 0.000 2.218 9.536
As 2.218 0.000 1.401
As 2.218 2.218 5.468
Pd 0.000 0.000 0.000
Pd 0.000 2.218 7.029
Pd 2.218 0.000 3.908
Pd 2.218 2.218 0.000
```

Calculated values
SG: No. 115
ΔH_f (0 K) in eV/atom: -0.8730


[4]
DFT (PBE) results for a relaxed Ac2InAs3Pt4 crystal.

The structure in extended XYZ format:
```
10
Lattice="4.484 0.000 0.000 0.000 4.484 0.000 0.000 0.000 10.749" Properties=species:S:1:pos:R:3 pbc="T T T"
Ac 0.000 2.242 2.536
Ac 2.242 0.000 8.213
In 0.000 0.000 5.374
As 0.000 2.242 9.395
As 2.242 0.000 1.353
As 2.242 2.242 5.374
Pt 0.000 0.000 0.000
Pt 0.000 2.242 6.904
Pt 2.242 0.000 3.844
Pt 2.242 2.242 0.000
```

Calculated values
SG: No. 115
ΔH_f (0 K) in eV/atom: -0.8795


[5]
DFT (PBE) results for a relaxed Ac3InAs2Pt9 crystal.

The structure in extended XYZ format:
```
15
Lattice="5.952 0.000 0.000 -2.976 5.155 0.000 0.000 0.000 11.701" Properties=species:S:1:pos:R:3 pbc="T T T"
Ac 0.000 0.000 0.000
Ac 0.000 3.436 8.766
Ac 2.976 1.718 2.936
In 0.000 0.000 5.851
As 0.000 3.436 1.910
As 2.976 1.718 9.791
Pt -1.488 2.577 0.000
Pt 0.000 1.627 3.634
Pt -1.567 4.341 3.634
Pt 1.409 0.814 8.067
Pt 2.976 0.000 0.000
Pt 1.488 2.577 0.000
Pt 1.567 4.341 3.634
Pt 4.543 0.814 8.067
Pt 2.976 3.528 8.067
```

Calculated values
SG: No. 164
ΔH_f (0 K) in eV/atom: -0.6715


[6]
DFT (PBE) results for a relaxed AcInAs2Rh5 crystal.

The structure in extended XYZ format:
```
9
Lattice="4.194 0.000 0.000 0.000 4.194 0.000 0.000 0.000 10.485" Properties=species:S:1:pos:R:3 pbc="T T T"
Ac 0.000 0.000 0.000
In 0.000 0.000 5.243
As 2.097 2.097 2.387
As 2.097 2.097 8.098
Rh 0.000 2.097 3.525
Rh 0.000 2.097 6.961
Rh 2.097 0.000 3.525
Rh 2.097 0.000 6.961
Rh 2.097 2.097 0.000
```

Calculated values
SG: No. 123
ΔH_f (0 K) in eV/atom: -0.4948